UMnTeO6 PBE with a Hubbard U relaxed; electronic total energy = -7.7186 eV per atom; M_tot = 5.00 μB per formula unit
1.0
5.675 0.000 0.000
-2.837 4.914 0.000
0.000 0.000 9.141
U Mn Te O
2 2 2 12
Direct
0.333 0.667 0.250
0.667 0.333 0.750
0.000 0.000 0.000
0.000 0.000 0.500
0.333 0.667 0.750
0.667 0.333 0.250
0.011 0.350 0.133
0.011 0.661 0.367
0.339 0.350 0.367
0.339 0.989 0.133
0.350 0.011 0.633
0.350 0.339 0.867
0.650 0.661 0.133
0.650 0.989 0.367
0.661 0.011 0.867
0.661 0.650 0.633
0.989 0.339 0.633
0.989 0.650 0.867